Entry 1:
A plane-wave DFT calculation with PBE was carried out for a geometry-optimized TaReS2F structure.

Lattice parameters (Å, degrees): 4.455 4.455 5.264 90.00 90.00 90.00
Space group P4/mmm (No. 123)
Inequivalent atoms, fractional coordinates:
Ta (0.000, 0.000, 0.000) (multiplicity 1)
Re (0.000, 0.000, 0.500) (multiplicity 1)
S (0.000, 0.500, 0.500) (multiplicity 2)
F (0.500, 0.500, 0.000) (multiplicity 1)

Formation energy (no corrections) (eV per atom): 0.44

Entry 2:
A plane-wave DFT calculation with PBE was carried out for a geometry-optimized ReTc2SF structure.

Lattice parameters (Å, degrees): 4.408 4.408 4.364 90.00 90.00 90.00
Space group P4/mmm (No. 123)
Inequivalent atoms, fractional coordinates:
Re (0.000, 0.000, 0.000) (multiplicity 1)
Tc (0.000, 0.500, 0.500) (multiplicity 2)
S (0.000, 0.000, 0.500) (multiplicity 1)
F (0.500, 0.500, 0.000) (multiplicity 1)

Formation energy (no corrections) (eV per atom): 0.98

Entry 3:
A plane-wave DFT calculation with PBE was carried out for a geometry-optimized TiReSF2 structure.

Lattice parameters (Å, degrees): 3.959 3.959 5.159 90.00 90.00 90.00
Space group P4/mmm (No. 123)
Inequivalent atoms, fractional coordinates:
Ti (0.000, 0.000, 0.000) (multiplicity 1)
Re (0.500, 0.500, 0.000) (multiplicity 1)
S (0.000, 0.000, 0.500) (multiplicity 1)
F (0.000, 0.500, 0.500) (multiplicity 2)

Formation energy (no corrections) (eV per atom): 0.39

Entry 4:
A plane-wave DFT calculation with PBE was carried out for a geometry-optimized TlReSF2 structure.

Lattice parameters (Å, degrees): 4.028 4.028 5.930 90.00 90.00 90.00
Space group P4/mmm (No. 123)
Inequivalent atoms, fractional coordinates:
Tl (0.000, 0.000, 0.000) (multiplicity 1)
Re (0.000, 0.000, 0.500) (multiplicity 1)
S (0.500, 0.500, 0.000) (multiplicity 1)
F (0.000, 0.500, 0.500) (multiplicity 2)

Formation energy (no corrections) (eV per atom): -0.43